Compound: VCoO
Source: Alexandria via LeMat-Bulk
Functional: GGA+U
Structure: relaxed

The total energy is -0.2275 hartree per atom. For the energy relative to the lowest polymorph listed for this composition, the calculation gives 179 meV per atom. The value obtained for the mass density is 5.63 g cm⁻³.

abc: 2.8249 4.8118 5.8823
angles: 83.76 76.20 73.15
With the nearest neighbours (Å) after each atom.
Positions (direct):
V  0.0000  0.0000  0.0000  3 O 1.96-2.08
V  0.4041  0.5247  0.6494  4 O 2.01-2.10
Co  0.2538  0.1120  0.3627  1 O 1.98
Co  0.6359  0.5209  0.1912  1 O 2.10
O  0.0371  0.2144  0.6966  3 V 1.96-2.03, 1 Co 1.98
O  0.6971  0.7304  0.8580  4 V 2.06-2.10, 1 Co 2.10